Entry from Alexandria via LeMat-Bulk: an optimized crystal structure of Tb3CoI (GGA-PBE).

As for the uncorrected formation energy: -1.99 eV/f.u. The distance to the lowest polymorph of the same formula is 0.000 eV per atom.

It has space group C2/m (No. 12), with a = 15.1476 Å, b = 3.7932 Å, c = 10.1945 Å, α = 90.00°, β = 107.77° and γ = 90.00°. The asymmetric unit holds Tb at (0.0290, 0.0000, 0.3606), Tb at (0.1538, 0.5000, 0.8811), Tb at (0.2269, 0.0000, 0.6443), Co at (0.0895, 0.5000, 0.5893) and I at (0.1246, 0.0000, 0.1228).